DFT (PBE) results for Li2PrAlF8 after structural relaxation.

```
data_Li2PrAlF8
_chemical_formula_sum 'Li2 Pr1 Al1 F8'
_symmetry_space_group_name_H-M 'P 1'
_symmetry_Int_Tables_number 1
_symmetry_space_group_name_Hall 'P 1'
_cell_length_a 4.4539
_cell_length_b 4.8358
_cell_length_c 6.8958
_cell_angle_alpha 84.56
_cell_angle_beta 89.87
_cell_angle_gamma 87.94
loop_
_atom_site_label
_atom_site_type_symbol
_atom_site_fract_x
_atom_site_fract_y
_atom_site_fract_z
_atom_site_occupancy
F1 F 0.8254 0.2134 0.7852 1
Al1 Al 0.0000 0.0000 0.0000 1
Li1 Li 0.4736 0.4726 0.1910 1
F2 F 0.7073 0.7479 0.0099 1
F3 F 0.2927 0.2521 0.9901 1
Li2 Li 0.5264 0.5274 0.8090 1
F4 F 0.1787 0.8040 0.8112 1
Pr1 Pr 0.0000 0.0000 0.5000 1
F5 F 0.1746 0.7866 0.2148 1
F6 F 0.8213 0.1960 0.1888 1
F7 F 0.3990 0.2752 0.4493 1
F8 F 0.6010 0.7248 0.5507 1
```

For the calculated density, the calculation gives 3751 kg/m³. The density of states at the Fermi level comes out at 0.0 states/eV/f.u. For the electronic total energy, the calculation gives -0.2104 Ha/atom. The calculation puts the energy relative to the elements, uncorrected at -3447 meV per atom. The size of the total moment comes out at 0.000 μB per atom.